[1]
# Hf8Al2Pb | Alexandria via LeMat-Bulk | PBE-GGA | relaxed
data_Hf8Al2Pb
_space_group_name_H-M_alt 'C 1 2/m 1'
_space_group_IT_number 12
_space_group_name_Hall '-C 2y'
_cell_length_a 7.837
_cell_length_b 12.851
_cell_length_c 5.247
_cell_angle_alpha 90.00
_cell_angle_beta 112.48
_cell_angle_gamma 90.00
loop_
_atom_site_label
_atom_site_fract_x
_atom_site_fract_y
_atom_site_fract_z
Hf1 0.000 0.234 0.000
Hf2 0.082 0.500 0.797
Hf3 0.204 0.119 0.629
Al1 0.000 0.306 0.500
Pb1 0.000 0.000 0.000
# E_tot = -8.2435 eV/atom
# DOS(E_F) = 9.8 states/eV/f.u.

[2]
# Hf2AlPb2 | Alexandria via LeMat-Bulk | PBE-GGA | relaxed
data_Hf2AlPb2
_space_group_name_H-M_alt 'P 4/m b m'
_space_group_IT_number 127
_space_group_name_Hall '-P 4 2ab'
_cell_length_a 7.729
_cell_length_b 7.729
_cell_length_c 3.978
_cell_angle_alpha 90.00
_cell_angle_beta 90.00
_cell_angle_gamma 90.00
loop_
_atom_site_label
_atom_site_fract_x
_atom_site_fract_y
_atom_site_fract_z
Hf1 0.144 0.356 0.000
Al1 0.000 0.000 0.500
Pb1 0.157 0.657 0.500
# E_tot = -5.8925 eV/atom
# DOS(E_F) = 5.4 states/eV/f.u.
# energy above the lowest structure with this stoichiometry = 217 meV per atom

[3]
# HfAl3Pb | Alexandria via LeMat-Bulk | PBE-GGA | relaxed
data_HfAl3Pb
_space_group_name_H-M_alt 'P m -3 m'
_space_group_IT_number 221
_space_group_name_Hall '-P 4 2 3'
_cell_length_a 5.175
_cell_length_b 5.175
_cell_length_c 5.175
_cell_angle_alpha 90.00
_cell_angle_beta 90.00
_cell_angle_gamma 90.00
loop_
_atom_site_label
_atom_site_fract_x
_atom_site_fract_y
_atom_site_fract_z
Hf1 0.000 0.000 0.000
Al1 0.000 0.500 0.500
Pb1 0.500 0.500 0.500
# E_tot = -3.6631 eV/atom
# DOS(E_F) = 4.5 states/eV/f.u.
# energy above the lowest structure with this stoichiometry = 541 meV per atom

[4]
# Hf2Al2Pb | Alexandria via LeMat-Bulk | PBE-GGA | relaxed
data_Hf2Al2Pb
_space_group_name_H-M_alt 'P 4/m b m'
_space_group_IT_number 127
_space_group_name_Hall '-P 4 2ab'
_cell_length_a 8.061
_cell_length_b 8.061
_cell_length_c 3.332
_cell_angle_alpha 90.00
_cell_angle_beta 90.00
_cell_angle_gamma 90.00
loop_
_atom_site_label
_atom_site_fract_x
_atom_site_fract_y
_atom_site_fract_z
Hf1 0.130 0.370 0.000
Al1 0.170 0.670 0.500
Pb1 0.000 0.000 0.000
# E_tot = -6.1871 eV/atom
# DOS(E_F) = 4.0 states/eV/f.u.
# energy above the lowest structure with this stoichiometry = 72 meV per atom

Which of these has the highest E_tot?
HfAl3Pb

The lowest DOS(E_F) belongs to which entry?
Hf2Al2Pb